{
  "formula": "MnHF2",
  "functional": "PBE+U",
  "state": "relaxed",
  "cell": [[-2.861, 2.861, 4.555], [2.861, -2.861, 4.555], [2.861, 2.861, -4.555]],
  "species": ["Mn", "Mn", "H", "H", "F", "F", "F", "F"],
  "fractional_positions": [[0.000, 0.000, 0.000], [0.750, 0.250, 0.500], [0.250, 0.750, 0.500], [0.500, 0.500, 0.000], [0.020, 0.625, 0.895], [0.375, 0.270, 0.395], [0.730, 0.125, 0.105], [0.875, 0.980, 0.605]],
  "final_energy_ev_per_cell": -39.6,
  "dos_ef_per_ev_fu": 0.00
}